Here is a relaxed structure of PuTc2W from Alexandria. Energies are from GGA-PBE.

Structure (POSCAR):
```
PuTc2W
1.0
4.638 0.000 0.000
0.000 4.638 0.000
0.000 0.000 3.154
Pu Tc W
1 2 1
Cartesian
0.000 0.000 0.000 Pu
0.000 2.319 1.577 Tc
2.319 0.000 1.577 Tc
2.319 2.319 0.000 W
```

Computed properties:
total DFT energy (no corrections)	-11.88	eV per atom
energy of formation from the pure elements	0.1277	eV/atom
density	15.3	g cm⁻³